1.
# Sm6Y3TmSc2

An optimized crystal structure of Sm6Y3TmSc2 (PBE, the Alexandria database).

Cell: 6.157 6.157 11.609 Å, 95.06 95.06 119.97°
Fractional positions:
Sm (0.083, 0.419, 0.757)
Sm (0.246, 0.246, 0.243)
Sm (0.419, 0.083, 0.757)
Sm (0.581, 0.917, 0.243)
Sm (0.754, 0.754, 0.757)
Sm (0.917, 0.581, 0.243)
Y (0.000, 0.000, 0.500)
Y (0.333, 0.667, 0.500)
Y (0.667, 0.333, 0.500)
Tm (0.500, 0.500, 0.000)
Sc (0.167, 0.833, 0.000)
Sc (0.833, 0.167, 0.000)

## Properties
Space group: C2/m (12)
Formation energy in eV per atom: 0.0363
Magnetic moment in μB per formula unit: 0.00
DOS(E_F) in states/eV/atom: 1.229


2.
# Sm5YTm2Sc

An optimized crystal structure of Sm5YTm2Sc (PBE, the Alexandria database).

Cell: 11.190 11.190 10.134 Å, 90.00 90.00 152.51°
Fractional positions:
Sm (0.000, 0.000, 0.000)
Sm (0.000, 0.000, 0.500)
Sm (0.126, 0.874, 0.750)
Sm (0.221, 0.779, 0.062)
Sm (0.221, 0.779, 0.438)
Sm (0.498, 0.502, 0.250)
Sm (0.502, 0.498, 0.750)
Sm (0.779, 0.221, 0.562)
Sm (0.779, 0.221, 0.938)
Sm (0.874, 0.126, 0.250)
Y (0.101, 0.899, 0.250)
Y (0.899, 0.101, 0.750)
Tm (0.384, 0.616, 0.501)
Tm (0.384, 0.616, 0.999)
Tm (0.616, 0.384, 0.001)
Tm (0.616, 0.384, 0.499)
Sc (0.284, 0.716, 0.750)
Sc (0.716, 0.284, 0.250)

## Properties
Space group: Cmcm (63)
Formation energy in eV per atom: 0.1352
Magnetic moment in μB per formula unit: 0.00
DOS(E_F) in states/eV/atom: 1.517


3.
# Sm2Y2TmSc

An optimized crystal structure of Sm2Y2TmSc (PBE, the Alexandria database).

Cell: 6.991 5.547 9.610 Å, 90.00 90.00 90.00°
Fractional positions:
Sm (0.250, 0.000, 0.147)
Sm (0.250, 0.500, 0.686)
Sm (0.750, 0.000, 0.853)
Sm (0.750, 0.500, 0.314)
Y (0.000, 0.000, 0.500)
Y (0.250, 0.500, 0.343)
Y (0.500, 0.000, 0.500)
Y (0.750, 0.500, 0.657)
Tm (0.000, 0.500, 0.000)
Tm (0.500, 0.500, 0.000)
Sc (0.250, 0.000, 0.821)
Sc (0.750, 0.000, 0.179)

## Properties
Space group: Pmma (51)
Formation energy in eV per atom: 0.0618
Magnetic moment in μB per formula unit: 0.00
DOS(E_F) in states/eV/atom: 1.771


4.
# SmY5TmSc2

An optimized crystal structure of SmY5TmSc2 (PBE, the Alexandria database).

Cell: 11.078 11.078 9.361 Å, 90.00 90.00 150.63°
Fractional positions:
Sm (0.183, 0.817, 0.500)
Sm (0.817, 0.183, 0.000)
Y (0.011, 0.989, 0.495)
Y (0.264, 0.736, 0.818)
Y (0.307, 0.693, 0.198)
Y (0.389, 0.611, 0.529)
Y (0.469, 0.531, 0.230)
Y (0.531, 0.469, 0.730)
Y (0.611, 0.389, 0.029)
Y (0.693, 0.307, 0.698)
Y (0.736, 0.264, 0.318)
Y (0.989, 0.011, 0.995)
Tm (0.402, 0.598, 0.902)
Tm (0.598, 0.402, 0.402)
Sc (0.113, 0.887, 0.806)
Sc (0.134, 0.866, 0.185)
Sc (0.866, 0.134, 0.685)
Sc (0.887, 0.113, 0.306)

## Properties
Space group: Cmc2_1 (36)
Formation energy in eV per atom: 0.1662
Magnetic moment in μB per formula unit: 0.00
DOS(E_F) in states/eV/atom: 1.589


- Number 2 is which compound?
  Sm5YTm2Sc